First-principles (PBE-GGA) data for a relaxed Pm5Er8Pb crystal, as listed in Alexandria via LeMat-Bulk.

```
data_Pm5Er8Pb
_cell_length_a 8.436
_cell_length_b 8.436
_cell_length_c 8.436
_cell_angle_alpha 110.92
_cell_angle_beta 110.92
_cell_angle_gamma 106.62
_symmetry_space_group_name_H-M 'P 1'
_symmetry_Int_Tables_number 1
loop_
_symmetry_equiv_pos_as_xyz
'x,y,z'
loop_
_atom_site_label
_atom_site_type_symbol
_atom_site_fract_x
_atom_site_fract_y
_atom_site_fract_z
Er1 Er 0.175 0.442 0.106
Pm1 Pm 0.863 0.976 0.685
Er2 Er 0.078 0.329 0.608
Er3 Er 0.558 0.664 0.733
Er4 Er 0.336 0.069 0.894
Er5 Er 0.671 0.279 0.749
Pb1 Pb 0.250 0.750 0.500
Pm2 Pm 0.500 0.500 0.000
Pm3 Pm 0.024 0.709 0.887
Er6 Er 0.530 0.922 0.251
Er7 Er 0.931 0.825 0.267
Er8 Er 0.721 0.470 0.392
Pm4 Pm 0.291 0.177 0.315
Pm5 Pm 0.823 0.137 0.113
```

- Total magnetic moment: 0.00 μB per formula unit
- Raw total energy: -61.6 eV per formula unit
- Energy relative to the elements: 0.167 eV per atom
- Theoretical density: 8.17 Mg/m³